VASP calculation (PBE) on a relaxed structure of SiTcCl2.

Lattice parameters (Å, degrees): 9.3279 9.3279 9.3279 18.33 18.33 18.33
Last column: nearest neighbours and their distance in Å.
Element x y z (fractional)
1 Cl 0.0826 0.0826 0.0826  1 Tc 2.27
2 Tc 0.0000 0.0000 0.0000  2 Cl 2.27
3 Cl 0.9174 0.9174 0.9174  1 Tc 2.27
4 Si 0.5000 0.5000 0.5000  6 Cl 2.88, 6 Si 2.97

Excess energy over the best structure of this formula in the dataset   2.63 eV per formula unit
Energy relative to the elements, uncorrected   0.37 eV per atom

***

VASP calculation (PBE) on a relaxed structure of SiTc4Cl.

Lattice parameters (Å, degrees): 5.1677 5.1677 5.1677 60.00 60.00 60.00
Last column: nearest neighbours and their distance in Å.
Element x y z (fractional)
1 Tc 0.6248 0.1256 0.6248  6 Tc 2.58-2.59
2 Tc 0.1256 0.6248 0.6248  6 Tc 2.58-2.59
3 Tc 0.6248 0.6248 0.1256  6 Tc 2.58-2.59
4 Cl 0.2500 0.2500 0.2500  12 Tc 3.03, 4 Si 3.16
5 Tc 0.6248 0.6248 0.6248  6 Tc 2.58-2.59
6 Si 0.0000 0.0000 0.0000  12 Tc 3.03, 4 Cl 3.16

Energy relative to the elements, uncorrected   0.96 eV per atom

***

VASP calculation (PBE) on a relaxed structure of SiTcCl.

Lattice parameters (Å, degrees): 4.2141 4.2141 4.2141 60.00 60.00 60.00
Last column: nearest neighbours and their distance in Å.
Element x y z (fractional)
1 Si 0.7500 0.7500 0.7500  4 Cl 2.58, 4 Tc 2.58
2 Tc 0.0000 0.0000 0.0000  4 Si 2.58
3 Cl 0.5000 0.5000 0.5000  4 Si 2.58

Excess energy over the best structure of this formula in the dataset   4.29 eV per formula unit
Energy relative to the elements, uncorrected   0.97 eV per atom

***

VASP calculation (PBE) on a relaxed structure of SiTc2Cl.

Lattice parameters (Å, degrees): 4.2894 4.2894 4.2894 60.00 60.00 60.00
Last column: nearest neighbours and their distance in Å.
Element x y z (fractional)
1 Tc 0.7500 0.7500 0.7500  4 Cl 2.63, 4 Si 2.63
2 Tc 0.2500 0.2500 0.2500  4 Cl 2.63, 4 Si 2.63
3 Cl 0.5000 0.5000 0.5000  8 Tc 2.63
4 Si 0.0000 0.0000 0.0000  8 Tc 2.63

Excess energy over the best structure of this formula in the dataset   1.69 eV per formula unit
Energy relative to the elements, uncorrected   0.41 eV per atom

***

VASP calculation (PBE) on a relaxed structure of SiTcCl2.

Lattice parameters (Å, degrees): 3.1788 7.3027 7.3023 37.31 90.00 90.00
Last column: nearest neighbours and their distance in Å.
Element x y z (fractional)
1 Cl 0.0000 0.6148 0.6147  2 Tc 2.46
2 Tc 0.5000 0.7500 0.7500  2 Si 2.34, 4 Cl 2.46
3 Si 0.5000 0.2500 0.2500  2 Tc 2.34
4 Cl 0.0000 0.8852 0.8853  2 Tc 2.46

Excess energy over the best structure of this formula in the dataset   0.96 eV per formula unit
Energy relative to the elements, uncorrected   -0.05 eV per atom

***

VASP calculation (PBE) on a relaxed structure of SiTcCl2.

Lattice parameters (Å, degrees): 3.0281 3.0281 8.4205 90.00 90.00 90.00
Last column: nearest neighbours and their distance in Å.
Element x y z (fractional)
1 Cl 0.5000 0.5000 0.3384  4 Si 2.76, 4 Cl 3.03
2 Cl 0.0000 0.0000 0.9045  4 Tc 2.69
3 Si 0.0000 0.0000 0.5459  4 Tc 2.55, 4 Cl 2.76
4 Tc 0.5000 0.5000 0.7112  4 Si 2.55, 4 Cl 2.69

Excess energy over the best structure of this formula in the dataset   1.50 eV per formula unit
Energy relative to the elements, uncorrected   0.09 eV per atom

***

VASP calculation (PBE) on a relaxed structure of SiTcCl.

Lattice parameters (Å, degrees): 3.8843 3.1028 9.8789 90.00 90.14 90.00
Last column: nearest neighbours and their distance in Å.
Element x y z (fractional)
1 Si 0.9247 0.0000 0.7609  6 Tc 2.49-2.52, 2 Si 2.63
2 Cl 0.4258 0.0000 0.0058  2 Tc 2.56
3 Si 0.4236 0.0000 0.5814  6 Tc 2.49-2.66, 2 Si 2.63
4 Tc 0.9235 0.5000 0.5635  1 Cl 2.30, 6 Si 2.49
5 Tc 0.4250 0.5000 0.7997  6 Si 2.52-2.66, 2 Cl 2.56
6 Cl 0.9217 0.5000 0.3304  1 Tc 2.30

Excess energy over the best structure of this formula in the dataset   0.44 eV per formula unit
Energy relative to the elements, uncorrected   -0.31 eV per atom

***

VASP calculation (PBE) on a relaxed structure of SiTc2Cl.

Lattice parameters (Å, degrees): 5.6737 5.6737 5.6737 149.62 139.72 51.28
Last column: nearest neighbours and their distance in Å.
Element x y z (fractional)
1 Cl 0.4757 0.4757 0.0000  6 Tc 2.51-2.81
2 Tc 0.0268 0.0268 0.0000  2 Si 2.47, 4 Cl 2.51
3 Tc 0.7783 0.2783 0.5000  4 Si 2.53, 2 Cl 2.81
4 Si 0.2193 0.7193 0.5000  6 Tc 2.47-2.53

Excess energy over the best structure of this formula in the dataset   1.40 eV per formula unit
Energy relative to the elements, uncorrected   0.34 eV per atom

***

One value per record, in order, for energy: -18.01, -42.97, -14.71, -26.35, -19.67, -19.13, -37.13, -26.64 eV per cell.